Density functional theory data (GGA-PBEsol) for a relaxed structure of RbAlSe2.

It has space group I-42d (No. 122), with a = 7.3795 Å, b = 7.3795 Å, c = 8.6590 Å, α = 90.00°, β = 90.00° and γ = 90.00°. The inequivalent atoms are Rb at (0.0000, 0.0000, 0.0000), Al at (0.0000, 0.0000, 0.5000) and Se at (0.1481, 0.7500, 0.6250).

The total magnetization is 0.0000 μB per atom. The value obtained for the total energy is -4.28 eV per atom.


Density functional theory data (GGA-PBEsol) for a relaxed structure of As2WIBr.

It has space group P4/mmm (No. 123), with a = 5.3170 Å, b = 5.3170 Å, c = 5.2382 Å, α = 90.00°, β = 90.00° and γ = 90.00°. The inequivalent atoms are As at (0.0000, 0.5000, 0.0000), W at (0.0000, 0.0000, 0.5000), I at (0.5000, 0.5000, 0.0000) and Br at (0.5000, 0.5000, 0.5000).

The total magnetization is 0.6603 μB per atom. The value obtained for the total energy is -3.41 eV per atom.


Density functional theory data (GGA-PBEsol) for a relaxed structure of ZrTaH3.

It has space group Pm-3m (No. 221), with a = 3.6296 Å, b = 3.6296 Å, c = 3.6296 Å, α = 90.00°, β = 90.00° and γ = 90.00°. The inequivalent atoms are Zr at (0.0000, 0.0000, 0.0000), Ta at (0.5000, 0.5000, 0.5000) and H at (0.0000, 0.0000, 0.5000).

The total magnetization is 0.0000 μB per atom. The value obtained for the total energy is -6.14 eV per atom.


Density functional theory data (GGA-PBEsol) for a relaxed structure of Ca3W2N4.

It has space group Pnna (No. 52), with a = 5.8905 Å, b = 9.9872 Å, c = 9.1877 Å, α = 90.00°, β = 90.00° and γ = 90.00°. The inequivalent atoms are Ca at (0.1130, 0.1568, 0.0755), Ca at (0.2500, 0.0000, 0.3913), W at (0.0766, 0.2500, 0.7500), W at (0.2500, 0.0000, 0.7263), N at (0.0091, 0.5697, 0.3412) and N at (0.2289, 0.6641, 0.8997).

The total magnetization is 0.0000 μB per atom. The value obtained for the total energy is -8.30 eV per atom.


Density functional theory data (GGA-PBEsol) for a relaxed structure of ScSi3Br.

It has space group Pm-3m (No. 221), with a = 5.1196 Å, b = 5.1196 Å, c = 5.1196 Å, α = 90.00°, β = 90.00° and γ = 90.00°. The inequivalent atoms are Sc at (0.0000, 0.0000, 0.0000), Si at (0.0000, 0.0000, 0.5000) and Br at (0.5000, 0.5000, 0.5000).

The calculation puts the energy relative to the lowest polymorph listed for this composition at 0 meV/atom. The total magnetization is 0.0004 μB per atom. The value obtained for the total energy is -4.19 eV per atom.


Density functional theory data (GGA-PBEsol) for a relaxed structure of LaYNi2.

It has space group P4/mmm (No. 123), with a = 4.8200 Å, b = 4.8200 Å, c = 3.3855 Å, α = 90.00°, β = 90.00° and γ = 90.00°. The inequivalent atoms are La at (0.0000, 0.0000, 0.0000), Y at (0.5000, 0.5000, 0.0000) and Ni at (0.0000, 0.5000, 0.5000).

The value obtained for the formation energy is -270.1 meV per atom. The calculation puts the energy relative to the lowest polymorph listed for this composition at 79 meV/atom. The total magnetization is 0.0001 μB per atom. The value obtained for the total energy is -6.39 eV per atom.


Question: Among the records above, which one has the highest total magnetization?
Answer: As2WIBr


Question: Which value of total magnetization does entry 2 give?
Answer: 0.6603 μB per atom